KHgPdF2: optimized geometry, PBE-GGA.

Its density of states at the Fermi level is 1.57 states/eV/f.u.

a = 4.7680 Å, b = 4.7680 Å, c = 5.2675 Å
α = 90.00°, β = 90.00°, γ = 90.00°
Space group P4/mmm (No. 123)
One atom of each set of equivalent atoms:
K (0.0000, 0.0000, 0.0000)
Hg (0.5000, 0.5000, 0.5000)
Pd (0.5000, 0.5000, 0.0000)
F (0.0000, 0.5000, 0.5000)

=====

K3Hg2PdF9: optimized geometry, PBE-GGA.

Its density of states at the Fermi level is 0.64 states/eV/f.u.

a = 6.3611 Å, b = 6.3611 Å, c = 7.8749 Å
α = 90.00°, β = 90.00°, γ = 120.00°
Space group P-3m1 (No. 164)
One atom of each set of equivalent atoms:
K (0.0000, 0.0000, 0.0000)
K (0.3333, 0.6667, 0.6526)
Hg (0.3333, 0.6667, 0.1732)
Pd (0.0000, 0.0000, 0.5000)
F (0.0000, 0.5000, 0.0000)
F (0.1633, 0.3265, 0.3438)

=====

KHgPdF6: optimized geometry, PBE-GGA.

a = 5.1770 Å, b = 5.9405 Å, c = 5.9442 Å
α = 117.10°, β = 90.44°, γ = 90.53°
Space group P1 (No. 1)
One atom of each set of equivalent atoms:
K (0.0000, 0.0000, 0.0000)
Hg (0.5000, 0.3267, 0.6737)
Pd (0.5015, 0.6671, 0.3330)
F (0.2744, 0.9789, 0.6205)
F (0.2959, 0.6598, 0.0451)
F (0.2974, 0.3853, 0.3446)
F (0.7052, 0.6538, 0.6138)
F (0.7077, 0.9560, 0.3425)
F (0.7286, 0.3809, 0.0204)

=====

Number 1: final energy -2.897 eV per atom, ρ 5.33 g cm⁻³, uncorrected formation energy -830 meV per atom. Number 2: final energy -3.634 eV per atom, ρ 4.79 g cm⁻³, uncorrected formation energy -1906 meV per atom. Number 3: final energy -3.674 eV per atom, ρ 4.70 g cm⁻³, uncorrected formation energy -1694 meV per atom.